Record 1
First-principles (meta-GGA SCAN) data for a PBEsol-optimized structure of K5Be, as listed in Alexandria via LeMat-Bulk.

Unit cell a=7.8114 b=7.8114 c=7.6451 alpha=90.00 beta=90.00 gamma=120.00
Space group P6/mmm (No. 191)
Unique sites:
K 0.0000 0.5000 0.0000
K 0.3333 0.6667 0.5000
Be 0.0000 0.0000 0.5000

Values from the calculation:
DFT formation energy: 0.6708 eV per atom
crystal system: hexagonal

***

Record 2
First-principles (meta-GGA SCAN) data for a PBEsol-optimized structure of SrAsRhBr2, as listed in Alexandria via LeMat-Bulk.

Unit cell a=5.1641 b=5.1641 c=4.7153 alpha=90.00 beta=90.00 gamma=90.00
Space group P4/mmm (No. 123)
Unique sites:
Sr 0.0000 0.0000 0.0000
As 0.5000 0.5000 0.0000
Rh 0.5000 0.5000 0.5000
Br 0.0000 0.5000 0.5000

Values from the calculation:
energy relative to the elements, uncorrected: -749 meV/atom
crystal system: tetragonal

***

Record 3
First-principles (meta-GGA SCAN) data for a PBEsol-optimized structure of LiYAg2, as listed in Alexandria via LeMat-Bulk.

Unit cell a=3.2551 b=4.8138 c=5.1139 alpha=90.00 beta=90.00 gamma=90.00
Space group Pmm2 (No. 25)
Unique sites:
Li 0.0000 0.0000 0.0000
Y 0.0000 0.5000 0.5850
Ag 0.5000 0.0000 0.4321
Ag 0.5000 0.5000 0.0879

Values from the calculation:
DFT formation energy: -0.1953 eV per atom
crystal system: orthorhombic

***

Record 4
First-principles (meta-GGA SCAN) data for a PBEsol-optimized structure of Sc2Si2Au, as listed in Alexandria via LeMat-Bulk.

Unit cell a=6.4771 b=6.4771 c=4.0483 alpha=90.00 beta=90.00 gamma=90.00
Space group P4/mbm (No. 127)
Unique sites:
Sc 0.1710 0.3290 0.0000
Si 0.1287 0.6287 0.5000
Au 0.0000 0.0000 0.5000

Values from the calculation:
energy relative to the elements, uncorrected: -895 meV/atom
crystal system: tetragonal

***

Record 5
First-principles (meta-GGA SCAN) data for a PBEsol-optimized structure of TiMoS2, as listed in Alexandria via LeMat-Bulk.

Unit cell a=4.6173 b=4.6173 c=13.2487 alpha=90.00 beta=90.00 gamma=90.00
Space group I-42d (No. 122)
Unique sites:
Ti 0.0000 0.0000 0.0000
Mo 0.0000 0.0000 0.5000
S 0.2412 0.2500 0.6250

Values from the calculation:
energy relative to the elements, uncorrected: -548 meV/atom
crystal system: tetragonal

***

Record 6
First-principles (meta-GGA SCAN) data for a PBEsol-optimized structure of BaPbW3, as listed in Alexandria via LeMat-Bulk.

Unit cell a=5.1182 b=5.1182 c=5.1182 alpha=90.00 beta=90.00 gamma=90.00
Space group Pm-3m (No. 221)
Unique sites:
Ba 0.0000 0.0000 0.0000
Pb 0.5000 0.5000 0.5000
W 0.0000 0.5000 0.5000

Values from the calculation:
DFT formation energy: 2.9011 eV per atom
energy relative to the lowest polymorph listed for this composition: 0.0 kJ per mole of atoms
crystal system: cubic

***

Record 7
First-principles (meta-GGA SCAN) data for a PBEsol-optimized structure of Rb2LiCoC6N6, as listed in Alexandria via LeMat-Bulk.

Unit cell a=7.0197 b=7.3651 c=12.2598 alpha=90.00 beta=124.43 gamma=90.00
Space group P2_1/c (No. 14)
Unique sites:
Rb 0.2308 0.0623 0.2498
Li 0.0000 0.0000 0.5000
Co 0.5000 0.0000 0.0000
C 0.2624 0.1441 0.9748
C 0.3267 0.7064 0.4704
C 0.3759 0.0106 0.8212
N 0.1127 0.2377 0.9582
N 0.2153 0.6632 0.9509
N 0.2936 0.0193 0.7072

Values from the calculation:
energy relative to the elements, uncorrected: -237 meV/atom
crystal system: monoclinic

***

Record 8
First-principles (meta-GGA SCAN) data for a PBEsol-optimized structure of AlCr4Hg, as listed in Alexandria via LeMat-Bulk.

Unit cell a=6.8231 b=6.8231 c=6.8231 alpha=90.00 beta=90.00 gamma=90.00
Space group F-43m (No. 216)
Unique sites:
Al 0.0000 0.0000 0.0000
Cr 0.1245 0.1245 0.6245
Hg 0.2500 0.2500 0.2500

Values from the calculation:
DFT formation energy: 0.3984 eV per atom
crystal system: cubic

***

Record 9
First-principles (meta-GGA SCAN) data for a PBEsol-optimized structure of BaMn, as listed in Alexandria via LeMat-Bulk.

Unit cell a=3.7997 b=5.5209 c=11.4478 alpha=90.00 beta=90.00 gamma=90.00
Space group Imma (No. 74)
Unique sites:
Ba 0.0000 0.2500 0.1025
Mn 0.0000 0.2500 0.6692

Values from the calculation:
DFT formation energy: 0.3379 eV per atom
crystal system: orthorhombic

***

Record 10
First-principles (meta-GGA SCAN) data for a PBEsol-optimized structure of AlRu2Cl, as listed in Alexandria via LeMat-Bulk.

Unit cell a=2.7608 b=4.8567 c=8.4603 alpha=90.00 beta=90.00 gamma=90.00
Space group Immm (No. 71)
Unique sites:
Al 0.0000 0.0000 0.0000
Ru 0.0000 0.5000 0.2377
Cl 0.0000 0.0000 0.5000

Values from the calculation:
energy relative to the elements, uncorrected: 321 meV/atom
energy relative to the lowest polymorph listed for this composition: 30.8 kJ per mole of atoms
crystal system: orthorhombic

***

Record 11
First-principles (meta-GGA SCAN) data for a PBEsol-optimized structure of BaBe2W, as listed in Alexandria via LeMat-Bulk.

Unit cell a=3.5113 b=3.3337 c=6.6059 alpha=90.00 beta=105.38 gamma=90.00
Space group Pm (No. 6)
Unique sites:
Ba 0.0000 0.0000 0.0000
Be 0.6624 0.5000 0.3282
Be 0.7627 0.0000 0.5267
W 0.2802 0.5000 0.5629

Values from the calculation:
DFT formation energy: 0.7498 eV per atom
energy relative to the lowest polymorph listed for this composition: 0.0 kJ per mole of atoms
crystal system: monoclinic

***

Record 12
First-principles (meta-GGA SCAN) data for a PBEsol-optimized structure of SrIn2Se2, as listed in Alexandria via LeMat-Bulk.

Unit cell a=4.1230 b=4.1230 c=16.0337 alpha=90.00 beta=90.00 gamma=90.00
Space group I4/mmm (No. 139)
Unique sites:
Sr 0.0000 0.0000 0.0000
In 0.0000 0.5000 0.2500
Se 0.0000 0.0000 0.4090

Values from the calculation:
energy relative to the elements, uncorrected: -822 meV/atom
crystal system: tetragonal

***

Electronic total energy: -0.257 -0.874 -0.861 -0.898 -0.665 -2.278 -0.416 -0.901 -1.050 -0.773 -1.056 -0.980 (hartree per atom)